Here is a relaxed structure of LiMnAlO3 from Alexandria. Energies are from GGA+U.

The space group is P-1 (No. 2) and the conventional cell measures 5.775, 5.801 and 5.801 Å, with angles of 91.16, 119.73 and 118.49 degrees. Symmetry generates all atoms from Li at (0.040, 0.306, 0.428), Mn at (0.316, 0.253, 0.068), Al at (0.395, 0.824, 0.272), O at (0.081, 0.796, 0.954), O at (0.332, 0.786, 0.550) and O at (0.391, 0.303, 0.745).

The calculation puts the magnetization at 5.0 μB/f.u. For the density of states at the Fermi level, the calculation gives 0.00 states/eV per cell. The value obtained for the total energy is -83.505 eV/cell.